DFT (PBE) results for a geometry-optimized Ag2BiP2 structure.

Cell: 6.982 6.982 6.982 Å, 146.74 146.74 47.75°
Atoms (fractional coordinates):
Ag (0.111, 0.111, 0.000)
Ag (0.889, 0.889, 0.000)
Bi (0.500, 0.500, 0.000)
P (0.250, 0.750, 0.500)
P (0.750, 0.250, 0.500)

Calculated values
excess energy over the best structure of this formula in the dataset: 0.1240 eV/atom
magnetic moment: 0.000 μB/cell
energy relative to the elements: 0.402 eV/atom

---

DFT (PBE) results for a geometry-optimized ScCF structure.

Cell: 6.051 6.051 3.344 Å, 94.25 94.25 31.48°
Atoms (fractional coordinates):
Sc (0.120, 0.120, 0.197)
Sc (0.880, 0.880, 0.803)
C (0.461, 0.461, 0.335)
C (0.539, 0.539, 0.665)
F (0.258, 0.258, 0.752)
F (0.742, 0.742, 0.248)

Calculated values
excess energy over the best structure of this formula in the dataset: 0.1269 eV/atom
magnetic moment: 0.000 μB/cell
uncorrected formation energy: -1.747 eV/atom